Entry 1:
Computed, not measured: a relaxed CaLa7Pr12 crystal at the PBE level of DFT.

Properties
Its formation energy is 0.518 eV per atom. As for the symmetry: Im-3, No. 204.

abc: 10.0919 10.0919 10.0919
angles: 109.47 109.47 109.47
Closest atoms and distances in Å follow each position.
Sites, in units of the cell vectors:
Ca 0.0000 0.0000 0.0000  12 Pr 4.19
La 0.0000 0.0000 0.5000  6 Pr 2.95
La 0.0000 0.5000 0.0000  6 Pr 2.95
La 0.0000 0.5000 0.5000  4 Pr 3.63
La 0.5000 0.0000 0.0000  6 Pr 2.95
La 0.5000 0.0000 0.5000  4 Pr 3.63
La 0.5000 0.5000 0.0000  4 Pr 3.63
La 0.5000 0.5000 0.5000  6 Pr 2.95
Pr 0.0592 0.2820 0.7771  2 La 2.95
Pr 0.2229 0.5049 0.2820  2 La 2.95
Pr 0.2229 0.9408 0.7180  2 La 2.95
Pr 0.2820 0.2229 0.5049  2 La 2.95
Pr 0.2820 0.7771 0.0592  2 La 2.95
Pr 0.4951 0.7180 0.7771  2 La 2.95
Pr 0.5049 0.2820 0.2229  2 La 2.95
Pr 0.7180 0.2229 0.9408  2 La 2.95
Pr 0.7180 0.7771 0.4951  2 La 2.95
Pr 0.7771 0.0592 0.2820  2 La 2.95
Pr 0.7771 0.4951 0.7180  2 La 2.95
Pr 0.9408 0.7180 0.2229  2 La 2.95

***

Entry 2:
Computed, not measured: a relaxed BeCrInIr2 crystal at the PBE level of DFT.

Properties
Its formation energy is 1.366 eV per atom. As for the symmetry: P4/mmm, No. 123.

abc: 4.4878 4.4878 4.8418
angles: 90.00 90.00 90.00
Closest atoms and distances in Å follow each position.
Sites, in units of the cell vectors:
Be 0.0000 0.0000 0.0000  4 In 3.17, 8 Ir 3.30
Cr 0.5000 0.5000 0.5000  4 Ir 2.24, 2 In 2.42
In 0.5000 0.5000 0.0000  2 Cr 2.42
Ir 0.0000 0.5000 0.5000  2 Cr 2.24
Ir 0.5000 0.0000 0.5000  2 Cr 2.24

***

Entry 3:
Computed, not measured: a relaxed BeCdMo3 crystal at the PBE level of DFT.

Properties
Its formation energy is 0.760 eV per atom. The distance to the lowest polymorph of the same formula comes out at 0.000 eV/atom. As for the symmetry: Pm-3m, No. 221.

abc: 4.2990 4.2990 4.2990
angles: 90.00 90.00 90.00
Closest atoms and distances in Å follow each position.
Sites, in units of the cell vectors:
Be 0.0000 0.0000 0.0000  6 Mo 2.15
Cd 0.5000 0.5000 0.5000  12 Mo 3.04
Mo 0.0000 0.0000 0.5000  2 Be 2.15
Mo 0.0000 0.5000 0.0000  2 Be 2.15
Mo 0.5000 0.0000 0.0000  2 Be 2.15

***

Entry 4:
Computed, not measured: a relaxed NdHo2Se5 crystal at the PBE level of DFT.

Properties
As for the symmetry: I4/mcm, No. 140. Its final energy is -88.73 eV per cell.

abc: 8.5378 8.5378 8.5378
angles: 126.84 126.84 78.51
Closest atoms and distances in Å follow each position.
Sites, in units of the cell vectors:
Nd 0.2500 0.2500 0.0000  10 Se 3.20-3.31
Nd 0.7500 0.7500 0.0000  10 Se 3.20-3.31
Ho 0.1558 0.6558 0.8115  8 Se 2.81-3.05
Ho 0.3442 0.1558 0.5000  8 Se 2.81-3.05
Ho 0.6558 0.8442 0.5000  8 Se 2.81-3.05
Ho 0.8442 0.3442 0.1885  8 Se 2.81-3.05
Se 0.0000 0.0000 0.0000  4 Ho 2.89
Se 0.0090 0.2000 0.5000  3 Ho 2.81-3.05
Se 0.2000 0.7000 0.1910  3 Ho 2.81-3.05
Se 0.3000 0.4910 0.5000  3 Ho 2.81-3.05
Se 0.4910 0.9910 0.1910  3 Ho 2.81-3.05
Se 0.5000 0.5000 0.0000  4 Ho 2.89
Se 0.5090 0.0090 0.8090  3 Ho 2.81-3.05
Se 0.7000 0.5090 0.5000  3 Ho 2.81-3.05
Se 0.8000 0.3000 0.8090  3 Ho 2.81-3.05
Se 0.9910 0.8000 0.5000  3 Ho 2.81-3.05

***

Entry 5:
Computed, not measured: a relaxed La5PmDy2Sc crystal at the PBE level of DFT.

Properties
Its formation energy is 0.294 eV per atom. As for the symmetry: P4/mbm, No. 127.

abc: 8.1554 8.1554 9.5497
angles: 90.00 90.00 90.00
Closest atoms and distances in Å follow each position.
Sites, in units of the cell vectors:
La 0.0000 0.0000 0.0000  4 Dy 3.21
La 0.2084 0.2916 0.2729  1 Dy 3.21, 1 Sc 3.24
La 0.2084 0.2916 0.7271  1 Dy 3.21, 1 Sc 3.24
La 0.2916 0.7916 0.2729  1 Dy 3.21, 1 Sc 3.24
La 0.2916 0.7916 0.7271  1 Dy 3.21, 1 Sc 3.24
La 0.5000 0.5000 0.0000  4 Dy 3.21
La 0.7084 0.2084 0.2729  1 Dy 3.21, 1 Sc 3.24
La 0.7084 0.2084 0.7271  1 Dy 3.21, 1 Sc 3.24
La 0.7916 0.7084 0.2729  1 Dy 3.21, 1 Sc 3.24
La 0.7916 0.7084 0.7271  1 Dy 3.21, 1 Sc 3.24
Pm 0.0000 0.0000 0.5000  8 La 3.64
Pm 0.5000 0.5000 0.5000  8 La 3.64
Dy 0.1286 0.6286 0.0000  1 Dy 2.97, 4 La 3.21
Dy 0.3714 0.1286 0.0000  1 Dy 2.97, 4 La 3.21
Dy 0.6286 0.8714 0.0000  1 Dy 2.97, 4 La 3.21
Dy 0.8714 0.3714 0.0000  1 Dy 2.97, 4 La 3.21
Sc 0.0000 0.5000 0.5000  4 La 3.24
Sc 0.5000 0.0000 0.5000  4 La 3.24

***

Entry 6:
Computed, not measured: a relaxed Pt2AuSe crystal at the PBE level of DFT.

Properties
As for the symmetry: Immm, No. 71. Its final energy is -35.97 eV per cell.

abc: 2.9083 4.9439 9.5381
angles: 90.00 90.00 90.00
Closest atoms and distances in Å follow each position.
Sites, in units of the cell vectors:
Pt 0.0000 0.0000 0.2381  2 Se 2.70, 6 Pt 2.88-2.91, 2 Au 2.89
Pt 0.0000 0.0000 0.7619  2 Se 2.70, 6 Pt 2.88-2.91, 2 Au 2.89
Pt 0.5000 0.5000 0.2619  2 Se 2.70, 6 Pt 2.88-2.91, 2 Au 2.89
Pt 0.5000 0.5000 0.7381  2 Se 2.70, 6 Pt 2.88-2.91, 2 Au 2.89
Au 0.0000 0.5000 0.0000  4 Se 2.87, 4 Pt 2.89, 2 Au 2.91
Au 0.5000 0.0000 0.5000  4 Se 2.87, 4 Pt 2.89, 2 Au 2.91
Se 0.0000 0.5000 0.5000  4 Pt 2.70, 4 Au 2.87, 2 Se 2.91
Se 0.5000 0.0000 0.0000  4 Pt 2.70, 4 Au 2.87, 2 Se 2.91